# 1
## BaCoTe2 (PBE)

Data for BaCoTe2 after structural relaxation.

Properties
Formation energy (no corrections): -3.00 eV per formula unit
Size of the total moment: 0.00 μB per formula unit

a b c (Å): 4.475 4.475 11.557
angles (deg): 90.00 90.00 90.00
Space group I-4m2 (No. 119)
Inequivalent atoms, fractional coordinates:
Ba: 0.000 0.000 0.000 x2
Co: 0.000 0.500 0.250 x2
Te: 0.000 0.000 0.343 x4

***

# 2
## Tm6InCo (PBE)

Data for Tm6InCo after structural relaxation.

Properties
Formation enthalpy at 0 K: -0.034 eV per atom
Size of the total moment: 0.00 μB per formula unit

a b c (Å): 7.878 9.723 6.152
angles (deg): 90.00 105.25 90.00
Space group C2/m (No. 12)
Inequivalent atoms, fractional coordinates:
Tm: 0.106 0.187 0.288 x8
Tm: 0.217 0.500 0.116 x4
In: 0.000 0.500 0.500 x2
Co: 0.000 0.000 0.000 x2

***

# 3
## SrPuSbPd (PBE)

Data for SrPuSbPd after structural relaxation.

Properties
Formation energy (no corrections): -2.09 eV per formula unit
Size of the total moment: 5.51 μB per formula unit

a b c (Å): 7.564 7.564 7.564
angles (deg): 90.00 90.00 90.00
Space group F-43m (No. 216)
Inequivalent atoms, fractional coordinates:
Sr: 0.000 0.000 0.000 x4
Pu: 0.000 0.000 0.500 x4
Sb: 0.250 0.250 0.750 x4
Pd: 0.250 0.250 0.250 x4